# ErMn9Nb2 | Alexandria via LeMat-Bulk | PBE | relaxed
data_ErMn9Nb2
_cell_length_a 4.9344
_cell_length_b 4.9344
_cell_length_c 23.4011
_cell_angle_alpha 90.00
_cell_angle_beta 90.00
_cell_angle_gamma 120.00
_space_group_name_H-M_alt 'R -3 m'
_space_group_IT_number 166
_space_group_name_Hall '-R 3 2"'
loop_
_atom_site_label
_atom_site_fract_x
_atom_site_fract_y
_atom_site_fract_z
Er1 0.0000 0.0000 0.0000
Mn1 0.0000 0.0000 0.3357
Mn2 0.0000 0.0000 0.5000
Mn3 0.0070 0.5035 0.9140
Nb1 0.0000 0.0000 0.1431
# formation energy from the elements: -0.053 eV per atom
# E_tot: -8.99 eV per atom
# M_tot: 7.86 μB/cell

---

# Mg2CuSnH | Alexandria via LeMat-Bulk | PBE | relaxed
data_Mg2CuSnH
_cell_length_a 4.506
_cell_length_b 4.506
_cell_length_c 3.905
_cell_angle_alpha 90.00
_cell_angle_beta 90.00
_cell_angle_gamma 90.00
_space_group_name_H-M_alt 'P 4/m m m'
_space_group_IT_number 123
_space_group_name_Hall '-P 4 2'
loop_
_atom_site_label
_atom_site_fract_x
_atom_site_fract_y
_atom_site_fract_z
Mg1 0.000 0.500 0.000
Cu1 0.000 0.000 0.500
Sn1 0.500 0.500 0.500
H1 0.000 0.000 0.000
# E_tot: -2.94 eV per atom
# M_tot: 0.00 μB/cell

---

# Sm5Mg | Alexandria via LeMat-Bulk | PBE | relaxed
data_Sm5Mg
_cell_length_a 3.642
_cell_length_b 3.642
_cell_length_c 14.526
_cell_angle_alpha 90.00
_cell_angle_beta 90.00
_cell_angle_gamma 90.00
_space_group_name_H-M_alt 'P 4/m m m'
_space_group_IT_number 123
_space_group_name_Hall '-P 4 2'
loop_
_atom_site_label
_atom_site_fract_x
_atom_site_fract_y
_atom_site_fract_z
Sm1 0.000 0.000 0.000
Sm2 0.000 0.000 0.350
Sm3 0.500 0.500 0.177
Mg1 0.500 0.500 0.500
# energy relative to the lowest polymorph listed for this composition: 0.0 meV/atom
# formation energy from the elements: -0.021 eV per atom
# E_tot: -4.22 eV per atom
# M_tot: 0.00 μB/cell

---

# MgSi2Ge2 | Alexandria via LeMat-Bulk | PBE | relaxed
data_MgSi2Ge2
_cell_length_a 4.844
_cell_length_b 4.844
_cell_length_c 8.160
_cell_angle_alpha 90.00
_cell_angle_beta 90.00
_cell_angle_gamma 90.00
_space_group_name_H-M_alt 'I 4/m m m'
_space_group_IT_number 139
_space_group_name_Hall '-I 4 2'
loop_
_atom_site_label
_atom_site_fract_x
_atom_site_fract_y
_atom_site_fract_z
Mg1 0.000 0.000 0.000
Si1 0.000 0.000 0.356
Ge1 0.000 0.500 0.250
# raw formation energy: 0.19 eV/atom
# energy relative to the lowest polymorph listed for this composition: 0.0 meV/atom
# E_tot: -4.14 eV per atom
# M_tot: 0.00 μB/cell

---

# PmYInPb | Alexandria via LeMat-Bulk | PBE | relaxed
data_PmYInPb
_cell_length_a 5.034
_cell_length_b 5.034
_cell_length_c 8.933
_cell_angle_alpha 90.00
_cell_angle_beta 90.00
_cell_angle_gamma 90.00
_space_group_name_H-M_alt 'I -4 m 2'
_space_group_IT_number 119
_space_group_name_Hall 'I -4 -2'
loop_
_atom_site_label
_atom_site_fract_x
_atom_site_fract_y
_atom_site_fract_z
Pm1 0.000 0.000 0.000
Y1 0.000 0.000 0.500
In1 0.000 0.500 0.250
Pb1 0.000 0.500 0.750
# energy relative to the lowest polymorph listed for this composition: 0.0 meV/atom
# formation energy from the elements: -0.486 eV per atom
# E_tot: -4.90 eV per atom
# M_tot: 0.00 μB/cell

---

# Cs3K2IrO6 | Alexandria via LeMat-Bulk | PBE | relaxed
data_Cs3K2IrO6
_cell_length_a 6.637
_cell_length_b 11.508
_cell_length_c 6.761
_cell_angle_alpha 90.00
_cell_angle_beta 108.64
_cell_angle_gamma 90.00
_space_group_name_H-M_alt 'C 1 2/m 1'
_space_group_IT_number 12
_space_group_name_Hall '-C 2y'
loop_
_atom_site_label
_atom_site_fract_x
_atom_site_fract_y
_atom_site_fract_z
Cs1 0.000 0.000 0.000
Cs2 0.000 0.332 0.000
K1 0.000 0.166 0.500
Ir1 0.000 0.500 0.500
O1 0.180 0.380 0.673
O2 0.181 0.500 0.319
# raw formation energy: -1.14 eV/atom
# E_tot: -4.76 eV per atom
# M_tot: 4.05 μB/cell

---

# Rb2ReBr4F2 | Alexandria via LeMat-Bulk | PBE | relaxed
data_Rb2ReBr4F2
_cell_length_a 12.481
_cell_length_b 7.555
_cell_length_c 7.342
_cell_angle_alpha 90.00
_cell_angle_beta 125.85
_cell_angle_gamma 90.00
_space_group_name_H-M_alt 'C 1 2/m 1'
_space_group_IT_number 12
_space_group_name_Hall '-C 2y'
loop_
_atom_site_label
_atom_site_fract_x
_atom_site_fract_y
_atom_site_fract_z
Rb1 0.247 0.000 0.300
Re1 0.000 0.500 0.000
Br1 0.037 0.262 0.798
F1 0.190 0.500 0.257
# raw formation energy: -1.48 eV/atom
# E_tot: -4.23 eV per atom
# M_tot: 6.00 μB/cell

---

# Sr2TmNpAs4 | Alexandria via LeMat-Bulk | PBE | relaxed
data_Sr2TmNpAs4
_cell_length_a 7.280
_cell_length_b 4.257
_cell_length_c 7.505
_cell_angle_alpha 90.00
_cell_angle_beta 108.90
_cell_angle_gamma 90.00
_space_group_name_H-M_alt 'P 1 2/m 1'
_space_group_IT_number 10
_space_group_name_Hall '-P 2y'
loop_
_atom_site_label
_atom_site_fract_x
_atom_site_fract_y
_atom_site_fract_z
Sr1 0.000 0.000 0.000
Sr2 0.500 0.500 0.000
Tm1 0.000 0.500 0.500
Np1 0.500 0.000 0.500
As1 0.247 0.000 0.716
As2 0.267 0.500 0.286
# formation energy from the elements: -1.074 eV per atom
# E_tot: -6.00 eV per atom
# M_tot: 2.01 μB/cell

---

# CuSb2Os | Alexandria via LeMat-Bulk | PBE | relaxed
data_CuSb2Os
_cell_length_a 4.737
_cell_length_b 4.737
_cell_length_c 3.280
_cell_angle_alpha 90.00
_cell_angle_beta 90.00
_cell_angle_gamma 90.00
_space_group_name_H-M_alt 'P 4/m m m'
_space_group_IT_number 123
_space_group_name_Hall '-P 4 2'
loop_
_atom_site_label
_atom_site_fract_x
_atom_site_fract_y
_atom_site_fract_z
Cu1 0.000 0.000 0.000
Sb1 0.000 0.500 0.500
Os1 0.500 0.500 0.000
# raw formation energy: 0.55 eV/atom
# energy relative to the lowest polymorph listed for this composition: 248.2 meV/atom
# E_tot: -5.35 eV per atom
# M_tot: 0.00 μB/cell

---

# HfBi2HRh | Alexandria via LeMat-Bulk | PBE | relaxed
data_HfBi2HRh
_cell_length_a 5.339
_cell_length_b 5.339
_cell_length_c 4.937
_cell_angle_alpha 90.00
_cell_angle_beta 90.00
_cell_angle_gamma 90.00
_space_group_name_H-M_alt 'P 4/m m m'
_space_group_IT_number 123
_space_group_name_Hall '-P 4 2'
loop_
_atom_site_label
_atom_site_fract_x
_atom_site_fract_y
_atom_site_fract_z
Hf1 0.000 0.000 0.000
Bi1 0.000 0.500 0.500
H1 0.500 0.500 0.000
Rh1 0.000 0.000 0.500
# E_tot: -4.83 eV per atom
# M_tot: 0.00 μB/cell

---

# HfSc2Br | Alexandria via LeMat-Bulk | PBE | relaxed
data_HfSc2Br
_cell_length_a 8.079
_cell_length_b 8.079
_cell_length_c 5.771
_cell_angle_alpha 90.00
_cell_angle_beta 90.00
_cell_angle_gamma 90.00
_space_group_name_H-M_alt 'I -4 2 d'
_space_group_IT_number 122
_space_group_name_Hall 'I -4 2bw'
loop_
_atom_site_label
_atom_site_fract_x
_atom_site_fract_y
_atom_site_fract_z
Hf1 0.000 0.000 0.000
Sc1 0.188 0.750 0.625
Br1 0.000 0.000 0.500
# raw formation energy: 0.11 eV/atom
# energy relative to the lowest polymorph listed for this composition: 547.7 meV/atom
# E_tot: -5.96 eV per atom
# M_tot: 0.00 μB/cell

---

# PmYTl | Alexandria via LeMat-Bulk | PBE | relaxed
data_PmYTl
_cell_length_a 5.4954
_cell_length_b 5.4954
_cell_length_c 6.7629
_cell_angle_alpha 90.00
_cell_angle_beta 90.00
_cell_angle_gamma 120.00
_space_group_name_H-M_alt 'P 63/m m c'
_space_group_IT_number 194
_space_group_name_Hall '-P 6c 2c'
loop_
_atom_site_label
_atom_site_fract_x
_atom_site_fract_y
_atom_site_fract_z
Pm1 0.0000 0.0000 0.0000
Y1 0.3333 0.6667 0.2500
Tl1 0.3333 0.6667 0.7500
# energy relative to the lowest polymorph listed for this composition: 5.2 meV/atom
# formation energy from the elements: -0.288 eV per atom
# E_tot: -4.81 eV per atom
# M_tot: 0.00 μB/cell

---

# Rb2CaNbBr6 | Alexandria via LeMat-Bulk | PBE | relaxed
data_Rb2CaNbBr6
_cell_length_a 11.176
_cell_length_b 11.176
_cell_length_c 11.176
_cell_angle_alpha 90.00
_cell_angle_beta 90.00
_cell_angle_gamma 90.00
_space_group_name_H-M_alt 'F m -3 m'
_space_group_IT_number 225
_space_group_name_Hall '-F 4 2 3'
loop_
_atom_site_label
_atom_site_fract_x
_atom_site_fract_y
_atom_site_fract_z
Rb1 0.250 0.250 0.250
Ca1 0.000 0.000 0.000
Nb1 0.000 0.000 0.500
Br1 0.000 0.000 0.256
# raw formation energy: -1.41 eV/atom
# E_tot: -3.82 eV per atom
# M_tot: 12.00 μB/cell

---

# HoScTiN3 | Alexandria via LeMat-Bulk | PBE | relaxed
data_HoScTiN3
_cell_length_a 6.297
_cell_length_b 3.176
_cell_length_c 8.808
_cell_angle_alpha 90.00
_cell_angle_beta 94.05
_cell_angle_gamma 90.00
_space_group_name_H-M_alt 'P 1 21/m 1'
_space_group_IT_number 11
_space_group_name_Hall '-P 2yb'
loop_
_atom_site_label
_atom_site_fract_x
_atom_site_fract_y
_atom_site_fract_z
Ho1 0.174 0.250 0.227
Sc1 0.351 0.750 0.887
Ti1 0.147 0.250 0.579
N1 0.128 0.250 0.802
N2 0.190 0.750 0.452
N3 0.394 0.750 0.125
# raw formation energy: -1.44 eV/atom
# E_tot: -8.74 eV per atom
# M_tot: 0.00 μB/cell

---

# PaAlTcO6 | Alexandria via LeMat-Bulk | PBE | relaxed
data_PaAlTcO6
_cell_length_a 4.777
_cell_length_b 4.777
_cell_length_c 9.498
_cell_angle_alpha 90.00
_cell_angle_beta 90.00
_cell_angle_gamma 90.00
_space_group_name_H-M_alt 'P 42 n m'
_space_group_IT_number 102
_space_group_name_Hall 'P 4n -2n'
loop_
_atom_site_label
_atom_site_fract_x
_atom_site_fract_y
_atom_site_fract_z
Pa1 0.000 0.000 0.000
Al1 0.000 0.000 0.667
Tc1 0.000 0.000 0.333
O1 0.178 0.178 0.508
O2 0.197 0.197 0.818
O3 0.207 0.207 0.177
# raw formation energy: -2.58 eV/atom
# E_tot: -8.51 eV per atom
# M_tot: 6.00 μB/cell

---

# MgNbIn3 | Alexandria via LeMat-Bulk | PBE | relaxed
data_MgNbIn3
_cell_length_a 5.418
_cell_length_b 5.418
_cell_length_c 5.418
_cell_angle_alpha 90.00
_cell_angle_beta 90.00
_cell_angle_gamma 90.00
_space_group_name_H-M_alt 'P m -3 m'
_space_group_IT_number 221
_space_group_name_Hall '-P 4 2 3'
loop_
_atom_site_label
_atom_site_fract_x
_atom_site_fract_y
_atom_site_fract_z
Mg1 0.000 0.000 0.000
Nb1 0.500 0.500 0.500
In1 0.000 0.500 0.500
# energy relative to the lowest polymorph listed for this composition: 0.0 meV/atom
# formation energy from the elements: 0.606 eV per atom
# E_tot: -3.37 eV per atom
# M_tot: 0.00 μB/cell

---

# Fe2ReIr | Alexandria via LeMat-Bulk | PBE | relaxed
data_Fe2ReIr
_cell_length_a 8.662
_cell_length_b 2.682
_cell_length_c 4.657
_cell_angle_alpha 90.00
_cell_angle_beta 100.09
_cell_angle_gamma 90.00
_space_group_name_H-M_alt 'C 1 2/m 1'
_space_group_IT_number 12
_space_group_name_Hall '-C 2y'
loop_
_atom_site_label
_atom_site_fract_x
_atom_site_fract_y
_atom_site_fract_z
Fe1 0.248 0.000 0.254
Re1 0.000 0.000 0.500
Ir1 0.000 0.500 0.000
# formation energy from the elements: 0.032 eV per atom
# E_tot: -9.53 eV per atom
# M_tot: 8.33 μB/cell

---

# TbSm4Tm7 | Alexandria via LeMat-Bulk | PBE | relaxed
data_TbSm4Tm7
_cell_length_a 6.783
_cell_length_b 6.960
_cell_length_c 8.621
_cell_angle_alpha 78.53
_cell_angle_beta 76.95
_cell_angle_gamma 75.76
_space_group_name_H-M_alt 'P -1'
_space_group_IT_number 2
_space_group_name_Hall '-P 1'
loop_
_atom_site_label
_atom_site_fract_x
_atom_site_fract_y
_atom_site_fract_z
Tb1 0.000 0.000 0.000
Sm1 0.185 0.606 0.334
Sm2 0.344 0.228 0.684
Tm1 0.000 0.500 0.000
Tm2 0.177 0.107 0.360
Tm3 0.324 0.734 0.673
Tm4 0.485 0.249 0.022
# energy relative to the lowest polymorph listed for this composition: 0.0 meV/atom
# formation energy from the elements: 0.082 eV per atom
# E_tot: -4.49 eV per atom
# M_tot: 0.00 μB/cell

---

# NbAs3 | Alexandria via LeMat-Bulk | PBE | relaxed
data_NbAs3
_cell_length_a 3.959
_cell_length_b 3.959
_cell_length_c 9.202
_cell_angle_alpha 90.00
_cell_angle_beta 90.00
_cell_angle_gamma 90.00
_space_group_name_H-M_alt 'I 4/m m m'
_space_group_IT_number 139
_space_group_name_Hall '-I 4 2'
loop_
_atom_site_label
_atom_site_fract_x
_atom_site_fract_y
_atom_site_fract_z
Nb1 0.000 0.000 0.000
As1 0.000 0.000 0.500
As2 0.000 0.500 0.250
# formation energy from the elements: 0.153 eV per atom
# E_tot: -5.85 eV per atom
# M_tot: 0.00 μB/cell

---

# Mn4ZnPd5 | Alexandria via LeMat-Bulk | PBE | relaxed
data_Mn4ZnPd5
_cell_length_a 3.172
_cell_length_b 3.172
_cell_length_c 14.933
_cell_angle_alpha 90.00
_cell_angle_beta 90.00
_cell_angle_gamma 90.00
_space_group_name_H-M_alt 'P 4/m m m'
_space_group_IT_number 123
_space_group_name_Hall '-P 4 2'
loop_
_atom_site_label
_atom_site_fract_x
_atom_site_fract_y
_atom_site_fract_z
Mn1 0.000 0.000 0.101
Mn2 0.000 0.000 0.303
Zn1 0.000 0.000 0.500
Pd1 0.500 0.500 0.000
Pd2 0.500 0.500 0.202
Pd3 0.500 0.500 0.403
# formation energy from the elements: -0.267 eV per atom
# E_tot: -6.66 eV per atom
# M_tot: 17.79 μB/cell

---

# SrBe2TlI | Alexandria via LeMat-Bulk | PBE | relaxed
data_SrBe2TlI
_cell_length_a 5.908
_cell_length_b 5.908
_cell_length_c 6.822
_cell_angle_alpha 90.00
_cell_angle_beta 90.00
_cell_angle_gamma 90.00
_space_group_name_H-M_alt 'P 4/m m m'
_space_group_IT_number 123
_space_group_name_Hall '-P 4 2'
loop_
_atom_site_label
_atom_site_fract_x
_atom_site_fract_y
_atom_site_fract_z
Sr1 0.000 0.000 0.000
Be1 0.000 0.500 0.000
Tl1 0.000 0.000 0.500
I1 0.500 0.500 0.500
# raw formation energy: 1.21 eV/atom
# E_tot: -1.40 eV per atom
# M_tot: 0.00 μB/cell

---

# MgAlAs | Alexandria via LeMat-Bulk | PBE | relaxed
data_MgAlAs
_cell_length_a 4.7063
_cell_length_b 4.7063
_cell_length_c 2.9526
_cell_angle_alpha 90.00
_cell_angle_beta 90.00
_cell_angle_gamma 120.00
_space_group_name_H-M_alt 'P 3 m 1'
_space_group_IT_number 156
_space_group_name_Hall 'P 3 -2"'
loop_
_atom_site_label
_atom_site_fract_x
_atom_site_fract_y
_atom_site_fract_z
Mg1 0.0000 0.0000 0.0000
Al1 0.3333 0.6667 0.5018
As1 0.6667 0.3333 0.5028
# formation energy from the elements: -0.051 eV per atom
# E_tot: -3.38 eV per atom
# M_tot: 0.00 μB/cell

---

# ZrP2OsO | Alexandria via LeMat-Bulk | PBE | relaxed
data_ZrP2OsO
_cell_length_a 4.835
_cell_length_b 4.835
_cell_length_c 3.641
_cell_angle_alpha 90.00
_cell_angle_beta 90.00
_cell_angle_gamma 90.00
_space_group_name_H-M_alt 'P 4/m m m'
_space_group_IT_number 123
_space_group_name_Hall '-P 4 2'
loop_
_atom_site_label
_atom_site_fract_x
_atom_site_fract_y
_atom_site_fract_z
Zr1 0.000 0.000 0.000
P1 0.000 0.500 0.500
Os1 0.500 0.500 0.500
O1 0.500 0.500 0.000
# raw formation energy: -0.18 eV/atom
# energy relative to the lowest polymorph listed for this composition: 0.0 meV/atom
# E_tot: -7.29 eV per atom
# M_tot: 0.00 μB/cell

---

# TlIn3Ga2 | Alexandria via LeMat-Bulk | PBE | relaxed
data_TlIn3Ga2
_cell_length_a 10.292
_cell_length_b 11.264
_cell_length_c 5.581
_cell_angle_alpha 90.00
_cell_angle_beta 90.00
_cell_angle_gamma 90.00
_space_group_name_H-M_alt 'C m c m'
_space_group_IT_number 63
_space_group_name_Hall '-C 2c 2'
loop_
_atom_site_label
_atom_site_fract_x
_atom_site_fract_y
_atom_site_fract_z
Tl1 0.000 0.142 0.250
In1 0.000 0.453 0.750
In2 0.177 0.233 0.750
Ga1 0.240 0.000 0.000
# formation energy from the elements: 0.069 eV per atom
# E_tot: -2.70 eV per atom
# M_tot: 0.00 μB/cell

---

# Cd7Sn2Au2 | Alexandria via LeMat-Bulk | PBE | relaxed
data_Cd7Sn2Au2
_cell_length_a 13.071
_cell_length_b 8.819
_cell_length_c 4.550
_cell_angle_alpha 90.00
_cell_angle_beta 103.45
_cell_angle_gamma 90.00
_space_group_name_H-M_alt 'C 1 2/m 1'
_space_group_IT_number 12
_space_group_name_Hall '-C 2y'
loop_
_atom_site_label
_atom_site_fract_x
_atom_site_fract_y
_atom_site_fract_z
Cd1 0.000 0.000 0.000
Cd2 0.153 0.257 0.126
Cd3 0.174 0.000 0.644
Sn1 0.135 0.500 0.629
Au1 0.000 0.230 0.500
# formation energy from the elements: -0.048 eV per atom
# E_tot: -1.95 eV per atom
# M_tot: 0.00 μB/cell